[1]
Entry from the Alexandria database: a relaxed structure of CaTaSbO6 (PBE).

Calculated values
Magnetic moment (μB/f.u.): 0.00
Space group: P-31c (163)
Electronic total energy (eV for the cell shown): -138.83

Cell: 5.3413 5.3413 10.1123 Å, 90.00 90.00 120.00°
Sites, in units of the cell vectors:
Ca 0.0000 0.0000 0.0000
Ca 0.0000 0.0000 0.5000
Ta 0.6667 0.3333 0.2500
Ta 0.3333 0.6667 0.7500
Sb 0.3333 0.6667 0.2500
Sb 0.6667 0.3333 0.7500
O 0.6291 0.6290 0.1416
O 0.9998 0.3709 0.1416
O 0.3709 0.9998 0.6416
O 0.0002 0.6291 0.8584
O 0.3710 0.3709 0.3584
O 0.9998 0.6290 0.3584
O 0.6290 0.9998 0.8584
O 0.6291 0.0002 0.3584
O 0.0002 0.3710 0.6416
O 0.3710 0.0002 0.1416
O 0.6290 0.6291 0.6416
O 0.3709 0.3710 0.8584



[2]
Entry from the Alexandria database: a relaxed structure of Ca2TaSbO6 (PBE).

Calculated values
Magnetic moment (μB/f.u.): 0.00
Energy relative to the lowest polymorph listed for this composition (meV/atom): 85
Space group: P4mm (99)
Electronic total energy (eV for the cell shown): -74.02

Cell: 5.0259 5.6956 5.6956 Å, 90.00 90.00 90.00°
Sites, in units of the cell vectors:
Ca 0.9737 0.5000 0.0000
Ca 0.9737 0.0000 0.5000
Ta 0.6037 0.0000 0.0000
Sb 0.5714 0.5000 0.5000
O 0.7282 0.2322 0.2322
O 0.7282 0.2322 0.7678
O 0.1756 0.5000 0.5000
O 0.2357 0.0000 0.0000
O 0.7282 0.7678 0.7678
O 0.7282 0.7678 0.2322



[3]
Entry from the Alexandria database: a relaxed structure of CaTbSb2O8 (PBE).

Calculated values
Magnetic moment (μB/f.u.): 1.08
Space group: I-4 (82)
Electronic total energy (eV for the cell shown): -78.69

Cell: 5.3293 5.3293 6.7432 Å, 113.28 113.28 90.00°
Each line ends with the local moment (μB).
Sites, in units of the cell vectors:
Ca 0.7500 0.2500 0.5000  0.00
Tb 0.0000 0.0000 0.0000  -0.01
Sb 0.5000 0.5000 0.0000  -0.01
Sb 0.2500 0.7500 0.5000  -0.01
O 0.7782 0.8335 0.1778  0.12
O 0.3996 0.3443 0.1778  0.12
O 0.5901 0.6631 0.6846  0.12
O 0.0945 0.0215 0.6846  0.12
O 0.9785 0.4099 0.3154  0.12
O 0.3369 0.9055 0.3154  0.12
O 0.1665 0.6004 0.8222  0.12
O 0.6557 0.2218 0.8222  0.12



[4]
Entry from the Alexandria database: a relaxed structure of CaSbTeO6 (PBE).

Calculated values
Magnetic moment (μB/f.u.): 0.31
Space group: P-31c (163)
Electronic total energy (eV for the cell shown): -107.40

Cell: 5.4257 5.4257 10.1596 Å, 90.00 90.00 120.00°
Each line ends with the local moment (μB).
Sites, in units of the cell vectors:
Ca 0.0000 0.0000 0.0000  0.00
Ca 0.0000 0.0000 0.5000  0.00
Sb 0.6667 0.3333 0.2500  0.00
Sb 0.3333 0.6667 0.7500  0.00
Te 0.3333 0.6667 0.2500  0.06
Te 0.6667 0.3333 0.7500  0.06
O 0.6358 0.6287 0.1402  0.03
O 0.9930 0.3642 0.1402  0.03
O 0.3642 0.9930 0.6402  0.03
O 0.0070 0.6358 0.8598  0.03
O 0.3713 0.3642 0.3598  0.03
O 0.9930 0.6287 0.3598  0.03
O 0.6287 0.9930 0.8598  0.03
O 0.6358 0.0070 0.3598  0.03
O 0.0070 0.3713 0.6402  0.03
O 0.3713 0.0070 0.1402  0.03
O 0.6287 0.6358 0.6402  0.03
O 0.3642 0.3713 0.8598  0.03



[5]
Entry from the Alexandria database: a relaxed structure of CaSbTe2O (PBE).

Calculated values
Magnetic moment (μB/f.u.): 0.00
Energy relative to the lowest polymorph listed for this composition (meV/atom): 0
Space group: P4/mmm (123)
Electronic total energy (eV for the cell shown): -19.91

Cell: 4.9968 4.9968 4.7764 Å, 90.00 90.00 90.00°
Sites, in units of the cell vectors:
Sb 0.0000 0.0000 0.5000
Ca 0.5000 0.5000 0.5000
Te 0.0000 0.5000 0.0000
Te 0.5000 0.0000 0.0000
O 0.0000 0.0000 0.0000



[6]
Entry from the Alexandria database: a relaxed structure of CaSbTe2O (PBE).

Calculated values
Magnetic moment (μB/f.u.): 0.00
Energy relative to the lowest polymorph listed for this composition (meV/atom): 1389
Space group: P4/mmm (123)
Electronic total energy (eV for the cell shown): -12.96

Cell: 5.6769 5.6769 5.8729 Å, 90.00 90.00 90.00°
Sites, in units of the cell vectors:
Sb 0.0000 0.0000 0.5000
Ca 0.0000 0.0000 0.0000
Te 0.0000 0.5000 0.0000
Te 0.5000 0.0000 0.0000
O 0.5000 0.5000 0.5000



[7]
Entry from the Alexandria database: a relaxed structure of CaSbTe2O8 (PBE).

Calculated values
Magnetic moment (μB/f.u.): 0.00
Space group: C2/m (12)
Electronic total energy (eV for the cell shown): -69.10

Cell: 4.9512 4.9509 6.9813 Å, 88.14 88.14 86.64°
Sites, in units of the cell vectors:
Ca 0.0000 0.0000 0.5000
Sb 0.0000 0.0000 0.0000
Te 0.4734 0.4734 0.7526
Te 0.5266 0.5266 0.2474
O 0.2138 0.8286 0.2179
O 0.7153 0.7154 0.0350
O 0.8287 0.2139 0.2179
O 0.7862 0.1714 0.7821
O 0.2847 0.2846 0.9650
O 0.1713 0.7861 0.7821
O 0.6820 0.6822 0.4608
O 0.3180 0.3178 0.5392



[8]
Entry from the Alexandria database: a relaxed structure of CaThSbO6 (PBE).

Calculated values
Magnetic moment (μB/f.u.): 0.93
Space group: P4_2nm (102)
Electronic total energy (eV for the cell shown): -129.66

Cell: 5.1375 5.1375 10.3861 Å, 90.00 90.00 90.00°
Each line ends with the local moment (μB).
Sites, in units of the cell vectors:
Ca 0.5000 0.5000 0.5017  0.00
Ca 0.0000 0.0000 0.0017  0.00
Th 0.5000 0.5000 0.1686  0.00
Th 0.0000 0.0000 0.6686  0.00
Sb 0.5000 0.5000 0.8338  -0.01
Sb 0.0000 0.0000 0.3338  -0.01
O 0.1816 0.8184 0.4803  0.12
O 0.8184 0.1816 0.4803  0.12
O 0.3184 0.3184 0.9803  0.12
O 0.6816 0.6816 0.9803  0.12
O 0.1859 0.8141 0.1892  0.11
O 0.8141 0.1859 0.1892  0.11
O 0.3141 0.3141 0.6892  0.11
O 0.6859 0.6859 0.6892  0.11
O 0.7767 0.2233 0.8283  0.16
O 0.2233 0.7767 0.8283  0.16
O 0.7233 0.7233 0.3283  0.16
O 0.2767 0.2767 0.3283  0.16